First-principles (meta-GGA SCAN) data for a PBEsol-optimized structure of Ni2BiTe2, as listed in Alexandria via LeMat-Bulk.

Cell: 4.340 4.340 6.237 Å, 110.36 110.36 90.00°
Element x y z (fractional)
Te 0.750 0.250 0.500
Te 0.250 0.750 0.500
Bi 0.000 0.000 0.000
Ni 0.614 0.614 0.229
Ni 0.386 0.386 0.771

Output
- Magnetization: 0.000 μB/f.u.
- Uncorrected formation energy: 1.7 eV per formula unit
- Density: 9443 kg/m³
- E_tot: -183.7 eV per cell

---

First-principles (meta-GGA SCAN) data for a PBEsol-optimized structure of LaOsSe2, as listed in Alexandria via LeMat-Bulk.

Cell: 4.869 4.869 4.869 Å, 60.00 60.00 60.00°
Element x y z (fractional)
La 0.500 0.500 0.500
Se 0.750 0.750 0.750
Se 0.000 0.000 0.000
Os 0.250 0.250 0.250

Output
- Magnetization: 1.127 μB/f.u.
- Uncorrected formation energy: 1.1 eV per formula unit
- Density: 9906 kg/m³
- E_tot: -154.1 eV per cell

---

Sequential D(E_F) output: 4.2 2.8 states/eV per cell